# CsPuCdSe3 (PBE, relaxed)
# Final energy (eV for the cell shown): -67.1
# Spin magnetization (μB per atom): 0.833
# ΔE_f (raw) (eV/atom): -1.164
data_CsPuCdSe3
_space_group_name_H-M_alt 'P 1 21/m 1'
_space_group_IT_number 11
_cell_length_a 9.5608
_cell_length_b 4.3723
_cell_length_c 10.6410
_cell_angle_alpha 90.00
_cell_angle_beta 110.15
_cell_angle_gamma 90.00
loop_
_space_group_symop_operation_xyz
'x,y,z'
'-x,-y,-z'
'-x,y+1/2,-z'
'x,-y+1/2,z'
loop_
_atom_site_label
_atom_site_type_symbol
_atom_site_fract_x
_atom_site_fract_y
_atom_site_fract_z
Cs1 Cs 0.2207 0.2500 0.2420
Pu1 Pu 0.3285 0.7500 0.8622
Cd1 Cd 0.0857 0.2500 0.6134
Se1 Se 0.1224 0.2500 0.8695
Se2 Se 0.2143 0.7500 0.5479
Se3 Se 0.4759 0.7500 0.1459